<one>
A plane-wave DFT calculation with GGA-PBE was carried out for a geometry-optimized Cr2FeSe4 structure.

POSCAR file:
```
Cr2FeSe4
1.0
6.4852 -1.8401 0.0000
6.4852 1.8401 0.0000
-3.1220 0.0000 5.5575
Cr Fe Se
2 1 4
Direct
0.2444 0.2444 0.2615
0.7556 0.7556 0.7385
0.5000 0.5000 0.5000
0.1303 0.1303 0.7953
0.3789 0.3789 0.7102
0.6211 0.6211 0.2898
0.8697 0.8697 0.2047
```

Total moment, μB/cell: 8.879


<two>
A plane-wave DFT calculation with GGA-PBE was carried out for a geometry-optimized Cr2FeSe4 structure.

POSCAR file:
```
Cr2FeSe4
1.0
3.6739 0.0000 0.0000
-1.8369 3.1817 0.0000
0.0000 0.0000 11.2830
Cr Fe Se
2 1 4
Direct
0.0000 0.0000 0.2456
0.0000 0.0000 0.7544
0.0000 0.0000 0.0000
0.3333 0.6667 0.3598
0.3333 0.6667 0.8941
0.6667 0.3333 0.1059
0.6667 0.3333 0.6402
```

Total moment, μB/cell: 6.006


It is <two> that is the least stable of them.


<one>
A plane-wave DFT calculation with GGA-PBE was carried out for a geometry-optimized Cr3FeSe structure.

POSCAR file:
```
Cr3FeSe
1.0
4.4691 0.0000 0.0000
0.0000 4.4691 0.0000
0.0000 0.0000 4.4691
Cr Fe Se
3 1 1
Direct
0.0000 0.0000 0.5000
0.0000 0.5000 0.0000
0.5000 0.0000 0.0000
0.5000 0.5000 0.5000
0.0000 0.0000 0.0000
```

Total moment, μB/cell: 10.972


<two>
A plane-wave DFT calculation with GGA-PBE was carried out for a geometry-optimized Cr3FeSe structure.

POSCAR file:
```
Cr3FeSe
1.0
4.4372 0.0000 0.0000
0.0000 4.4372 0.0000
0.0000 0.0000 4.4372
Cr Fe Se
3 1 1
Direct
0.0000 0.0000 0.5000
0.0000 0.5000 0.0000
0.5000 0.0000 0.0000
0.0000 0.0000 0.0000
0.5000 0.5000 0.5000
```

Total moment, μB/cell: 8.040


It is <one> that is the least stable of them.